# LiNi3W

A relaxed structure of LiNi3W (PBE, Alexandria).

```
LiNi3W
1.0
2.405 -6.230 0.000
2.405 6.230 0.000
0.000 0.000 4.441
Li Ni W
2 6 2
Cartesian
2.405 5.517 3.331
2.405 -5.517 1.110
1.223 1.816 3.331
1.223 -1.816 1.110
2.405 0.000 0.000
2.405 0.000 2.220
3.588 1.816 3.331
3.588 -1.816 1.110
2.405 2.378 1.110
2.405 -2.378 3.331
```

D(E_F) = 8.55 states/eV/cell
ΔH_f (0 K) = 0.23 eV/atom
Offset from the most stable computed form = 0.00 eV per formula unit


# Pu8SnPt5

A relaxed structure of Pu8SnPt5 (PBE, Alexandria).

```
Pu8SnPt5
1.0
-4.414 4.414 4.376
4.414 -4.414 4.376
4.414 4.414 -4.376
Pu Sn Pt
8 1 5
Cartesian
5.835 0.633 -0.499
1.629 -0.684 2.724
2.784 5.097 -1.653
0.633 2.992 0.499
3.730 2.784 1.653
3.781 1.421 4.875
-1.421 3.781 3.878
0.684 1.629 6.029
0.000 0.000 0.000
3.270 2.252 -1.143
4.414 0.000 2.188
2.161 -1.143 5.519
1.143 2.161 3.233
2.252 5.557 1.143
```

D(E_F) = 65.94 states/eV/cell
ΔH_f (0 K) = -0.57 eV/atom


# Ce3PmDy2N6

A relaxed structure of Ce3PmDy2N6 (PBE, Alexandria).

```
Ce3PmDy2N6
1.0
3.071 -5.318 0.000
3.071 5.318 0.000
-2.047 0.000 5.779
Ce Pm Dy N
3 1 2 6
Cartesian
0.000 0.000 0.000
3.071 1.773 0.000
3.071 -1.773 0.000
2.047 0.000 2.890
2.047 3.545 2.890
2.047 -3.545 2.890
0.998 1.816 1.426
-0.051 0.000 4.346
0.998 -1.816 1.426
3.096 1.816 4.353
4.145 0.000 1.433
3.096 -1.816 4.353
```

Energy relative to the elements, uncorrected = -1.5562 eV per atom
D(E_F) = 7.52 states/eV/cell


# Pr6Dy3HoEr2

A relaxed structure of Pr6Dy3HoEr2 (PBE, Alexandria).

```
Pr6Dy3HoEr2
1.0
3.147 -5.451 0.000
3.147 5.451 0.000
-2.093 0.000 11.671
Pr Dy Ho Er
6 3 1 2
Cartesian
0.002 1.818 8.763
1.052 0.000 2.909
0.002 -1.818 8.763
4.200 1.818 2.908
3.150 0.000 8.762
4.200 -1.818 2.908
-1.046 0.000 5.835
2.101 1.818 5.835
2.101 -1.818 5.835
3.147 0.000 0.000
3.147 3.635 0.000
3.147 -3.635 0.000
```

D(E_F) = 12.83 states/eV/cell
ΔH_f (0 K) = 0.01 eV/atom


# Hf2Ga4Rh

A relaxed structure of Hf2Ga4Rh (PBE, Alexandria).

```
Hf2Ga4Rh
1.0
4.721 0.000 0.000
0.000 4.721 0.000
0.000 0.000 13.411
Hf Ga Rh
4 8 2
Cartesian
0.000 0.000 1.526
0.000 0.000 11.885
2.360 2.360 5.180
2.360 2.360 8.232
0.000 0.000 4.222
0.000 0.000 9.190
0.000 2.360 0.000
0.000 2.360 6.706
2.360 0.000 0.000
2.360 0.000 6.706
2.360 2.360 2.484
2.360 2.360 10.927
0.000 0.000 6.706
2.360 2.360 0.000
```

D(E_F) = 13.09 states/eV/cell
ΔH_f (0 K) = 0.09 eV/atom
Offset from the most stable computed form = 2.99 eV per formula unit


# HfTeRu2

A relaxed structure of HfTeRu2 (PBE, Alexandria).

```
HfTeRu2
1.0
5.871 0.000 0.000
0.000 5.871 0.000
0.000 0.000 11.686
Hf Te Ru
4 4 8
Cartesian
0.000 0.000 0.000
0.000 2.936 2.922
2.936 0.000 8.765
2.936 2.936 5.843
0.000 0.000 5.843
0.000 2.936 8.765
2.936 0.000 2.922
2.936 2.936 0.000
1.457 1.468 7.304
1.468 4.393 10.226
1.468 4.414 4.382
1.478 1.468 1.461
4.393 4.403 1.461
4.403 1.457 4.382
4.403 1.478 10.226
4.414 4.403 7.304
```

Energy relative to the elements, uncorrected = 0.5254 eV per atom
D(E_F) = 9.60 states/eV/cell


# AsCl

A relaxed structure of AsCl (PBE, Alexandria).

```
AsCl
1.0
3.495 0.000 0.000
0.000 10.686 0.000
0.000 0.000 13.001
As Cl
6 6
Cartesian
0.874 0.184 0.828
0.874 5.159 0.828
0.874 8.015 3.636
2.621 2.672 9.365
2.621 5.527 12.173
2.621 10.502 12.173
0.874 2.672 0.360
0.874 6.324 5.015
0.874 9.705 5.015
2.621 0.981 7.986
2.621 4.362 7.986
2.621 8.015 12.641
```

Energy relative to the elements, uncorrected = -0.2329 eV per atom
D(E_F) = 3.43 states/eV/cell


# Cu2SnAu2

A relaxed structure of Cu2SnAu2 (PBE, Alexandria).

```
Cu2SnAu2
1.0
7.047 0.000 0.000
0.000 7.047 0.000
0.000 0.000 3.434
Cu Sn Au
4 2 4
Cartesian
0.941 2.582 0.000
2.582 6.106 0.000
4.465 0.941 0.000
6.106 4.465 0.000
0.000 0.000 0.000
3.523 3.523 0.000
1.120 4.643 1.717
2.404 1.120 1.717
4.643 5.927 1.717
5.927 2.404 1.717
```

D(E_F) = 2.68 states/eV/cell
ΔH_f (0 K) = -0.02 eV/atom
Offset from the most stable computed form = 0.00 eV per formula unit


# Pu2InHg

A relaxed structure of Pu2InHg (PBE, Alexandria).

```
Pu2InHg
1.0
3.343 0.000 0.000
-1.672 2.895 0.000
0.000 0.000 31.263
Pu In Hg
6 3 3
Cartesian
0.000 0.000 0.000
0.000 0.000 2.508
0.000 1.930 20.842
0.000 1.930 23.350
1.672 0.965 10.421
1.672 0.965 12.929
0.000 0.000 26.097
0.000 1.930 15.676
1.672 0.965 5.255
0.000 0.000 7.773
0.000 1.930 28.615
1.672 0.965 18.194
```

D(E_F) = 37.13 states/eV/cell
ΔH_f (0 K) = 0.13 eV/atom


# TmHfGa2

A relaxed structure of TmHfGa2 (PBE, Alexandria).

```
TmHfGa2
1.0
7.541 0.000 0.000
0.000 4.167 0.000
0.000 0.000 10.534
Tm Hf Ga
4 4 8
Cartesian
1.641 1.042 1.876
2.129 3.125 7.144
5.412 1.042 3.391
5.899 3.125 8.658
0.395 3.125 4.248
3.375 1.042 9.516
4.166 3.125 1.019
7.145 1.042 6.286
0.585 1.042 8.960
1.583 3.125 10.253
2.187 1.042 4.986
3.186 3.125 3.693
4.355 1.042 6.841
5.354 3.125 5.548
5.958 1.042 0.281
6.956 3.125 1.574
```

D(E_F) = 8.89 states/eV/cell
ΔH_f (0 K) = -0.46 eV/atom
Offset from the most stable computed form = 0.00 eV per formula unit


# K2HoZn2Te4

A relaxed structure of K2HoZn2Te4 (PBE, Alexandria).

```
K2HoZn2Te4
1.0
8.112 -2.346 0.000
8.112 2.346 0.000
-2.784 0.000 7.842
K Ho Zn Te
2 1 2 4
Cartesian
1.940 0.000 0.528
11.500 0.000 7.314
-1.392 0.000 3.921
3.895 0.000 3.940
9.545 0.000 3.901
1.412 0.000 5.307
5.865 0.000 5.817
7.575 0.000 2.024
12.028 0.000 2.534
```

Energy relative to the elements, uncorrected = -0.8483 eV per atom
D(E_F) = 3.23 states/eV/cell


# Cs2CdSi2S6

A relaxed structure of Cs2CdSi2S6 (PBE, Alexandria).

```
Cs2CdSi2S6
1.0
3.551 2.050 7.861
-3.551 2.050 7.861
0.000 -4.100 7.861
Cs Cd Si S
2 1 2 6
Cartesian
0.000 0.000 5.136
0.000 0.000 18.447
0.000 0.000 0.000
0.000 0.000 9.555
0.000 0.000 14.028
0.000 -2.045 9.710
-1.771 1.022 9.710
-1.771 -1.022 13.874
1.771 1.022 9.710
1.771 -1.022 13.874
0.000 2.045 13.874
```

Energy relative to the elements, uncorrected = -0.7470 eV per atom
D(E_F) = 0.30 states/eV/cell


# MgSc2V

A relaxed structure of MgSc2V (PBE, Alexandria).

```
MgSc2V
1.0
6.437 0.000 0.000
0.000 6.437 0.000
0.000 0.000 11.855
Mg Sc V
4 8 4
Cartesian
0.000 1.609 4.446
0.000 4.827 7.409
3.218 1.609 1.482
3.218 4.827 10.373
0.000 0.000 0.000
0.000 3.218 0.000
1.609 1.609 8.891
1.609 4.827 2.964
3.218 0.000 5.927
3.218 3.218 5.927
4.827 1.609 8.891
4.827 4.827 2.964
0.000 1.609 10.373
0.000 4.827 1.482
3.218 1.609 7.409
3.218 4.827 4.446
```

D(E_F) = 19.09 states/eV/cell
ΔH_f (0 K) = 1.44 eV/atom


# EuEr2Pa

A relaxed structure of EuEr2Pa (PBE, Alexandria).

```
EuEr2Pa
1.0
3.426 0.000 0.000
-1.713 2.967 0.000
0.000 0.000 36.456
Eu Er Pa
3 6 3
Cartesian
0.000 0.000 0.000
0.000 1.978 24.304
1.713 0.989 12.152
0.000 0.000 3.409
0.000 0.000 33.047
0.000 1.978 20.895
0.000 1.978 27.713
1.713 0.989 8.743
1.713 0.989 15.561
0.000 0.000 18.228
0.000 1.978 6.076
1.713 0.989 30.380
```

D(E_F) = 15.21 states/eV/cell
ΔH_f (0 K) = 0.20 eV/atom


# UCu2Sn2

A relaxed structure of UCu2Sn2 (PBE, Alexandria).

```
UCu2Sn2
1.0
3.096 -3.123 0.000
3.096 3.123 0.000
0.000 0.000 10.683
U Cu Sn
2 4 4
Cartesian
3.096 1.562 8.104
3.096 -1.562 2.579
1.548 0.000 0.000
3.096 1.562 3.877
3.096 -1.562 6.805
4.645 0.000 0.000
1.548 0.000 5.341
3.096 1.562 1.391
3.096 -1.562 9.292
4.645 0.000 5.341
```

D(E_F) = 16.68 states/eV/cell
ΔH_f (0 K) = 0.01 eV/atom


# Pa2TeAs

A relaxed structure of Pa2TeAs (PBE, Alexandria).

```
Pa2TeAs
1.0
3.610 0.000 0.000
0.000 3.610 0.000
0.000 0.000 7.275
Pa Te As
2 1 1
Cartesian
0.000 0.000 1.691
0.000 0.000 5.584
1.805 1.805 3.638
1.805 1.805 0.000
```

Energy relative to the elements, uncorrected = -0.7225 eV per atom
D(E_F) = 8.12 states/eV/cell
Offset from the most stable computed form = 0.51 eV per formula unit


# LaRu

A relaxed structure of LaRu (PBE, Alexandria).

```
LaRu
1.0
0.000 4.572 7.077
2.837 0.000 7.077
2.837 4.572 0.000
La Ru
4 4
Cartesian
2.128 0.455 5.308
3.547 2.741 8.846
2.128 6.404 5.308
3.547 8.690 8.846
2.128 3.429 4.064
2.128 3.429 6.551
3.547 5.716 7.603
3.547 5.716 10.089
```

D(E_F) = 8.21 states/eV/cell
ΔH_f (0 K) = 0.04 eV/atom


# Li3Si2Au5

A relaxed structure of Li3Si2Au5 (PBE, Alexandria).

```
Li3Si2Au5
1.0
-5.534 5.942 2.874
5.534 -5.942 2.874
5.534 5.942 -2.874
Li Si Au
6 4 10
Cartesian
6.874 2.877 0.000
0.000 0.000 1.437
1.340 3.064 0.000
4.194 2.877 2.874
0.000 0.000 4.311
-1.340 3.064 2.874
4.144 -4.381 2.874
4.144 4.381 0.000
1.390 1.561 2.874
1.390 10.322 0.000
4.082 2.060 0.000
2.864 5.942 -1.437
2.670 0.000 1.437
5.534 0.000 1.437
4.082 -2.060 2.874
1.452 8.001 0.000
0.000 5.942 1.437
2.864 5.942 1.437
2.670 0.000 4.311
1.452 3.882 2.874
```

Energy relative to the elements, uncorrected = -0.1641 eV per atom
D(E_F) = 7.03 states/eV/cell


# Ho2NiGe2Rh5

A relaxed structure of Ho2NiGe2Rh5 (PBE, Alexandria).

```
Ho2NiGe2Rh5
1.0
9.644 0.000 0.000
0.000 9.644 0.000
0.000 0.000 3.557
Ho Ni Ge Rh
4 2 4 10
Cartesian
1.667 3.155 0.000
3.155 7.976 0.000
6.489 1.667 0.000
7.976 6.489 0.000
0.000 0.000 0.000
4.822 4.822 0.000
1.231 6.053 0.000
3.591 1.231 0.000
6.053 8.413 0.000
8.413 3.591 0.000
0.000 4.822 1.779
0.628 7.696 1.779
1.947 0.628 1.779
2.875 5.450 1.779
4.194 2.875 1.779
4.822 0.000 1.779
5.450 6.769 1.779
6.769 4.194 1.779
7.696 9.016 1.779
9.016 1.947 1.779
```

D(E_F) = 22.09 states/eV/cell
ΔH_f (0 K) = -0.64 eV/atom


# GdPaTlSn

A relaxed structure of GdPaTlSn (PBE, Alexandria).

```
GdPaTlSn
1.0
7.595 0.000 0.000
0.000 7.595 0.000
0.000 0.000 7.595
Gd Pa Tl Sn
4 4 4 4
Cartesian
0.000 0.000 0.000
0.000 3.797 3.797
3.797 0.000 3.797
3.797 3.797 0.000
0.000 0.000 3.797
0.000 3.797 0.000
3.797 0.000 0.000
3.797 3.797 3.797
1.899 1.899 5.696
1.899 5.696 1.899
5.696 1.899 1.899
5.696 5.696 5.696
1.899 1.899 1.899
1.899 5.696 5.696
5.696 1.899 5.696
5.696 5.696 1.899
```

D(E_F) = 37.31 states/eV/cell
ΔH_f (0 K) = -0.14 eV/atom


Number 1: total DFT energy (no corrections) -6.210 eV per atom. Number 2: total DFT energy (no corrections) -11.207 eV per atom. Number 3: total DFT energy (no corrections) -8.365 eV per atom. Number 4: total DFT energy (no corrections) -4.670 eV per atom. Number 5: total DFT energy (no corrections) -5.536 eV per atom. Number 6: total DFT energy (no corrections) -7.386 eV per atom. Number 7: total DFT energy (no corrections) -3.481 eV per atom. Number 8: total DFT energy (no corrections) -3.774 eV per atom. Number 9: total DFT energy (no corrections) -7.794 eV per atom. Number 10: total DFT energy (no corrections) -5.576 eV per atom. Number 11: total DFT energy (no corrections) -3.280 eV per atom. Number 12: total DFT energy (no corrections) -4.223 eV per atom. Number 13: total DFT energy (no corrections) -4.405 eV per atom. Number 14: total DFT energy (no corrections) -7.019 eV per atom. Number 15: total DFT energy (no corrections) -5.483 eV per atom. Number 16: total DFT energy (no corrections) -7.418 eV per atom. Number 17: total DFT energy (no corrections) -7.066 eV per atom. Number 18: total DFT energy (no corrections) -3.461 eV per atom. Number 19: total DFT energy (no corrections) -6.729 eV per atom. Number 20: total DFT energy (no corrections) -7.626 eV per atom.